P | DFT (PBE) results for an optimized crystal structure of La2Sm7Dy2.

abc: 12.3293 6.6850 9.4894
angles: 90.00 90.15 90.00
With the nearest neighbours (Å) after each atom.
Space group C2/m (No. 12)
Unique sites:
La 0.0000 0.2495 0.0000 x4  2 La 3.34-3.35, 6 Sm 3.48-3.54
Sm 0.9999 0.0000 0.3220 x4  2 Dy 3.30-3.31, 1 Sm 3.38, 2 La 3.48
Sm 0.0000 0.5000 0.5000 x2  2 Dy 3.32
Sm 0.2495 0.2503 0.8159 x8  4 Sm 3.34-3.73, 2 Dy 3.44, 2 La 3.54
Dy 0.2304 0.0000 0.5003 x4  7 Sm 3.30-3.44, 2 Dy 3.38


Q | DFT (PBE) results for an optimized crystal structure of La2Sm7Dy2.

abc: 16.0899 6.3846 15.8554
angles: 90.00 111.82 90.00
With the nearest neighbours (Å) after each atom.
Space group C2/c (No. 15)
Unique sites:
La 0.1365 0.1676 0.4771 x8  1 La 3.61, 9 Sm 3.61-3.71, 2 Dy 3.64-3.70
Sm 0.0000 0.3321 0.2500 x4  2 La 3.61, 8 Sm 3.61-3.69, 2 Dy 3.61
Sm 0.0467 0.1674 0.6599 x8  8 Sm 3.57-3.69, 2 Dy 3.58-3.60, 2 La 3.64-3.69
Sm 0.0925 0.3350 0.0706 x8  2 Dy 3.56-3.59, 7 Sm 3.59-3.74, 3 La 3.64-3.71
Sm 0.1821 0.3343 0.8843 x8  6 Sm 3.57-3.74, 3 La 3.62-3.71, 3 Dy 3.63-3.68
Dy 0.2267 0.1655 0.2934 x8  8 Sm 3.56-3.68, 2 La 3.64-3.70, 2 Dy 3.66


We find Q to be the most stable, with the next structure 0.295 eV/atom higher.


P | DFT (PBE) results for an optimized crystal structure of La2Sm4Dy3.

abc: 6.2486 12.4461 8.6047
angles: 90.00 111.28 90.00
With the nearest neighbours (Å) after each atom.
Space group C2/m (No. 12)
Unique sites:
La 0.1141 0.0000 0.2275 x4  6 Dy 3.62-3.93, 1 La 3.65, 6 Sm 3.66-3.80
Sm 0.1877 0.3552 0.3754 x8  2 Sm 3.29-3.60, 3 Dy 3.51-3.64, 1 La 3.66
Dy 0.0000 0.5000 0.0000 x2  4 Dy 3.48, 4 Sm 3.51, 4 La 3.62
Dy 0.2500 0.2500 0.0000 x4  4 Dy 3.12-3.48


Q | DFT (PBE) results for an optimized crystal structure of La2Sm4Dy3.

abc: 3.6356 3.6356 26.9684
angles: 90.00 90.00 120.00
With the nearest neighbours (Å) after each atom.
Space group P3m1 (No. 156)
Unique sites:
La 0.0000 0.0000 0.0000 x1  6 La 3.64, 3 Dy 3.66, 3 Sm 3.73
La 0.0000 0.0000 0.2187 x1  1 Sm 3.58, 3 Dy 3.58, 6 La 3.64
Sm 0.0000 0.0000 0.3514 x1  3 Dy 3.50, 1 La 3.58, 6 Sm 3.64
Sm 0.0000 0.0000 0.5633 x1  3 Dy 3.59, 9 Sm 3.61-3.64
Sm 0.3333 0.6667 0.6724 x1  3 Dy 3.57, 9 Sm 3.61-3.64
Sm 0.3333 0.6667 0.8855 x1  3 Dy 3.54, 6 Sm 3.64, 3 La 3.73
Dy 0.0000 0.0000 0.7796 x1  6 Sm 3.54-3.57, 6 Dy 3.64
Dy 0.3333 0.6667 0.1112 x1  6 La 3.58-3.66, 6 Dy 3.64
Dy 0.3333 0.6667 0.4552 x1  6 Sm 3.50-3.59, 6 Dy 3.64


We find Q to be the most stable, with the next structure 0.114 eV/atom higher.


P | DFT (PBE) results for an optimized crystal structure of La6Sm4Dy.

abc: 7.0293 7.0293 16.1840
angles: 90.00 90.00 90.00
With the nearest neighbours (Å) after each atom.
Space group I-42m (No. 121)
Unique sites:
La 0.0000 0.5000 0.0000 x4  4 Sm 3.11
La 0.1905 0.1905 0.1817 x8  3 Sm 3.46-3.73, 1 Dy 3.50, 1 La 3.79
Sm 0.1701 0.1701 0.3954 x8  3 La 3.11-3.46, 1 Sm 3.38
Dy 0.0000 0.0000 0.0000 x2  8 La 3.50-3.51, 4 Sm 3.69


Q | DFT (PBE) results for an optimized crystal structure of La6Sm4Dy.

abc: 6.0071 9.8753 26.2892
angles: 90.00 90.00 90.00
With the nearest neighbours (Å) after each atom.
Space group Cmcm (No. 63)
Unique sites:
La 0.0000 0.0000 0.0000 x4  8 Sm 3.31-3.67
La 0.0000 0.0589 0.2500 x4  2 Sm 3.30, 3 Dy 3.37-3.39, 2 La 3.66
La 0.0000 0.2944 0.6026 x8  6 Sm 3.41-3.81, 1 La 3.82
La 0.0000 0.3837 0.1832 x8  5 La 3.51-3.89, 4 Sm 3.62-3.76, 3 Dy 3.74-3.85
Sm 0.0000 0.0518 0.1244 x8  6 La 3.30-3.62, 1 Sm 3.63
Sm 0.0000 0.3518 0.0448 x8  8 La 3.54-3.92, 2 Sm 3.63-3.76
Dy 0.0000 0.2824 0.7500 x4  5 La 3.37-3.74


We find Q to be the most stable, with the next structure 0.162 eV/atom higher.


P | DFT (PBE) results for an optimized crystal structure of La2SmDy5.

abc: 16.2400 9.9682 6.6227
angles: 90.00 98.39 90.00
With the nearest neighbours (Å) after each atom.
Space group C2/c (No. 15)
Unique sites:
La 0.0774 0.2494 0.1105 x8  1 Sm 3.00, 2 Dy 3.13-3.35, 1 La 3.33
Sm 0.2500 0.2500 0.0000 x4  2 La 3.00
Dy 0.0000 0.4345 0.7500 x4  2 La 3.13
Dy 0.1008 0.0838 0.6509 x8  3 La 3.35-3.55, 1 Sm 3.51, 5 Dy 3.65-3.74
Dy 0.1972 0.4094 0.5287 x8  2 Sm 3.50-3.51, 1 La 3.53, 7 Dy 3.65-3.79


Q | DFT (PBE) results for an optimized crystal structure of La2SmDy5.

abc: 7.1959 14.3972 5.1225
angles: 90.00 90.00 90.00
With the nearest neighbours (Å) after each atom.
Space group Pbam (No. 55)
Unique sites:
La 0.2481 0.1255 0.0000 x4  10 Dy 3.59-3.61, 2 Sm 3.62
Sm 0.0000 0.5000 0.5000 x2  8 Dy 3.60-3.61, 4 La 3.62
Dy 0.0000 0.0000 0.5000 x2  6 Dy 3.59-3.62, 2 Sm 3.60, 4 La 3.61
Dy 0.0024 0.7505 0.5000 x4  7 Dy 3.59-3.62, 4 La 3.60-3.61, 1 Sm 3.61
Dy 0.2478 0.3751 0.0000 x4  4 La 3.59-3.61, 2 Sm 3.60, 6 Dy 3.61-3.62


We find Q to be the most stable, with the next structure 0.143 eV/atom higher.


P | DFT (PBE) results for an optimized crystal structure of La4Sm4Dy3.

abc: 3.6630 9.6172 22.0666
angles: 90.00 90.00 90.00
With the nearest neighbours (Å) after each atom.
Space group Immm (No. 71)
Unique sites:
La 0.0000 0.1688 0.1448 x8  1 La 3.25, 3 Sm 3.48-3.62
Sm 0.0000 0.3126 0.0000 x4  6 Dy 3.44-3.52, 2 La 3.48, 3 Sm 3.60-3.66
Sm 0.0000 0.5000 0.2341 x4  2 Dy 3.42, 6 La 3.62-3.75, 2 Sm 3.66
Dy 0.0000 0.0000 0.3966 x4  6 Sm 3.42-3.44, 2 Dy 3.66, 4 La 3.79
Dy 0.0000 0.5000 0.5000 x2  4 Sm 3.52, 2 Dy 3.66


Q | DFT (PBE) results for an optimized crystal structure of La4Sm4Dy3.

abc: 10.8387 5.7939 12.1465
angles: 90.00 90.00 90.00
With the nearest neighbours (Å) after each atom.
Space group Amm2 (No. 38)
Unique sites:
La 0.0000 0.0000 0.0000 x2  2 Sm 3.09, 2 La 3.23
La 0.2008 0.0000 0.8035 x4  2 La 3.23-3.57, 1 Sm 3.39, 2 Dy 3.56
La 0.5000 0.0000 0.9274 x2  3 Sm 3.34-3.43, 2 La 3.57, 4 Dy 3.70
Sm 0.0000 0.0000 0.5895 x2  4 La 3.09-3.39
Sm 0.3038 0.0000 0.1492 x4  4 La 3.43-3.76, 2 Sm 3.59, 4 Dy 3.71-3.74
Sm 0.5000 0.0000 0.6524 x2  2 Dy 3.32, 1 La 3.34, 4 Sm 3.59
Dy 0.0000 0.0000 0.2955 x2  5 Sm 3.57-3.83, 7 La 3.59-3.82, 2 Dy 3.68
Dy 0.2891 0.0000 0.4544 x4  3 Sm 3.32-3.71, 4 La 3.56-3.70, 1 Dy 3.68


We find P to be the most stable, with the next structure 0.022 eV/atom higher.


P | DFT (PBE) results for an optimized crystal structure of LaSm2Dy2.

abc: 9.2422 8.7317 9.4674
angles: 90.00 117.49 90.00
With the nearest neighbours (Å) after each atom.
Space group C2/c (No. 15)
Unique sites:
La 0.0000 0.0778 0.2500 x4  6 Sm 3.46-3.59, 4 Dy 3.55-3.70
Sm 0.2047 0.4277 0.3375 x8  4 Dy 3.31-3.58, 1 Sm 3.36, 3 La 3.46-3.59
Dy 0.0394 0.2937 0.9517 x8  4 Sm 3.31-3.58, 2 Dy 3.54-3.65, 2 La 3.55-3.70


Q | DFT (PBE) results for an optimized crystal structure of LaSm2Dy2.

abc: 9.5077 9.5077 3.8049
angles: 90.00 90.00 90.00
With the nearest neighbours (Å) after each atom.
Space group P4/mbm (No. 127)
Unique sites:
La 0.0000 0.0000 0.0000 x2  4 Sm 3.75, 2 La 3.80, 8 Dy 4.01
Sm 0.1266 0.3734 0.0000 x4  6 Dy 3.33-3.43, 1 Sm 3.40
Dy 0.1700 0.6700 0.5000 x4  6 Sm 3.33-3.43


We find Q to be the most stable, with the next structure 0.047 eV/atom higher.


P | DFT (PBE) results for an optimized crystal structure of La12SmDy7.

abc: 12.5086 12.5086 15.4893
angles: 90.00 90.00 120.00
With the nearest neighbours (Å) after each atom.
Space group R-3 (No. 148, hexagonal axes)
Unique sites:
La 0.0128 0.5750 0.2207 x18  3 La 3.22-3.40
La 0.0653 0.4690 0.5787 x18  4 La 3.22-3.40, 1 Dy 3.30
Sm 0.0000 0.0000 0.5000 x3  6 Dy 3.63, 6 La 3.67
Dy 0.0000 0.0000 0.0000 x3  6 La 3.30
Dy 0.0513 0.8676 0.3070 x18  3 Dy 3.49-3.56, 1 Sm 3.63, 6 La 3.69-3.79


Q | DFT (PBE) results for an optimized crystal structure of La12SmDy7.

abc: 19.6161 19.6161 6.3801
angles: 90.00 90.00 120.00
With the nearest neighbours (Å) after each atom.
Space group R-3 (No. 148, hexagonal axes)
Unique sites:
La 0.0002 0.4078 0.0002 x18  3 La 3.30-3.62, 2 Dy 3.38
La 0.0966 0.5485 0.4785 x18  1 La 3.29, 4 Dy 3.35-3.65
Sm 0.0000 0.0000 0.5000 x3  8 Dy 3.09-3.19
Dy 0.0000 0.0000 0.0000 x3  2 Sm 3.19, 6 Dy 3.41
Dy 0.0832 0.1658 0.3021 x18  1 Sm 3.09, 3 La 3.35-3.38, 1 Dy 3.41


We find P to be the most stable, with the next structure 0.006 eV/atom higher.


P | DFT (PBE) results for an optimized crystal structure of LaSm3Dy4.

abc: 11.5535 7.3307 6.3166
angles: 90.00 90.00 90.00
With the nearest neighbours (Å) after each atom.
Space group Pmn2_1 (No. 31)
Unique sites:
La 0.0000 0.1249 0.0000 x2  6 Sm 3.58-3.68, 6 Dy 3.59-3.68
Sm 0.0000 0.8716 0.5033 x2  6 Dy 3.57-3.72, 4 Sm 3.59, 2 La 3.65-3.68
Sm 0.2489 0.1282 0.3371 x4  6 Dy 3.57-3.71, 2 La 3.58-3.59, 4 Sm 3.59-3.68
Dy 0.0000 0.3792 0.5026 x2  6 Dy 3.54-3.63, 4 Sm 3.57-3.72, 2 La 3.65-3.68
Dy 0.0000 0.6226 0.0033 x2  6 Dy 3.56-3.63, 4 Sm 3.59-3.65, 2 La 3.65-3.68
Dy 0.2488 0.6223 0.3365 x4  6 Dy 3.54-3.63, 5 Sm 3.57-3.71, 1 La 3.59


Q | DFT (PBE) results for an optimized crystal structure of LaSm3Dy4.

abc: 3.4458 11.6950 13.1869
angles: 90.00 90.00 90.00
With the nearest neighbours (Å) after each atom.
Space group Immm (No. 71)
Unique sites:
La 0.0000 0.0000 0.0000 x2  4 Dy 3.43, 2 La 3.45, 4 Sm 3.63
Sm 0.0000 0.0000 0.5000 x2  6 Sm 3.45-3.81, 8 Dy 3.82
Sm 0.0000 0.5000 0.2579 x4  6 Dy 3.33-3.69, 2 Sm 3.45, 2 La 3.63
Dy 0.0000 0.2511 0.1351 x8  3 Sm 3.33-3.69, 1 La 3.43, 5 Dy 3.45-3.56


We find P to be the most stable, with the next structure 0.105 eV/atom higher.


P | DFT (PBE) results for an optimized crystal structure of La3Sm3Dy.

abc: 8.8911 8.8911 21.8465
angles: 90.00 90.00 120.00
With the nearest neighbours (Å) after each atom.
Space group R-3 (No. 148, hexagonal axes)
Unique sites:
La 0.0036 0.7560 0.0570 x18  3 Sm 3.29-3.46, 2 La 3.31, 1 Dy 3.50
Sm 0.0561 0.6068 0.8809 x18  3 La 3.29-3.46
Dy 0.0000 0.0000 0.3514 x6  6 La 3.50-3.81, 6 Sm 3.75-3.79


Q | DFT (PBE) results for an optimized crystal structure of La3Sm3Dy.

abc: 10.8068 10.8068 7.2918
angles: 90.00 90.00 120.00
With the nearest neighbours (Å) after each atom.
Space group R3m (No. 160, hexagonal axes)
Unique sites:
La 0.0411 0.5206 0.0000 x9  1 Dy 3.07, 3 Sm 3.39-3.43
Sm 0.0918 0.5459 0.5402 x9  5 La 3.39-3.64, 1 Dy 3.40
Dy 0.0000 0.0000 0.5257 x3  3 La 3.07, 3 Sm 3.40


We find Q to be the most stable, with the next structure 0.006 eV/atom higher.


P | DFT (PBE) results for an optimized crystal structure of La2Sm3Dy2.

abc: 17.8703 3.5560 8.6947
angles: 90.00 119.09 90.00
With the nearest neighbours (Å) after each atom.
Space group C2/m (No. 12)
Unique sites:
La 0.0653 0.0000 0.4131 x4  3 La 3.34-3.56, 5 Sm 3.52-3.70, 2 Dy 3.70
Sm 0.0000 0.5000 0.0000 x2  4 Sm 3.40-3.56, 2 Dy 3.60, 4 La 3.65
Sm 0.2124 0.5000 0.2964 x4  5 Sm 3.40-3.59, 3 La 3.52-3.70, 3 Dy 3.58-3.64
Dy 0.1514 0.5000 0.8391 x4  4 Dy 3.56-3.72, 4 Sm 3.58-3.64, 4 La 3.70-3.84


Q | DFT (PBE) results for an optimized crystal structure of La2Sm3Dy2.

abc: 3.5822 6.2023 11.6720
angles: 76.07 89.64 73.64
With the nearest neighbours (Å) after each atom.
Space group P-1 (No. 2)
Unique sites:
La 0.2434 0.0236 0.3612 x2  4 Sm 3.46-3.62, 3 Dy 3.57-3.73, 4 La 3.58-3.66
Sm 0.0000 0.5000 0.5000 x1  2 Sm 3.58, 6 La 3.60-3.62, 4 Dy 3.72-3.73
Sm 0.1374 0.2095 0.0558 x2  5 Sm 3.38-3.60, 1 La 3.46, 4 Dy 3.57-3.63
Dy 0.4723 0.5653 0.2137 x2  3 La 3.57-3.73, 7 Sm 3.57-3.82, 2 Dy 3.58


We find Q to be the most stable, with the next structure 0.022 eV/atom higher.